VASP calculation (PBE) on Pr4TlTc after structural relaxation.

Lattice parameters (Å, degrees): 9.0085 13.4427 6.4869 90.00 107.21 90.00
With the nearest neighbours (Å) after each atom.
Space group C2/c (No. 15)
Inequivalent atoms, fractional coordinates:
Pr 0.1097 0.1665 0.0460  2 Tc 2.91-2.93
Pr 0.2168 0.4198 0.3969  2 Tc 3.08-3.16, 1 Tl 3.33
Tl 0.0000 0.3773 0.7500  8 Pr 3.33-3.47
Tc 0.0000 0.0010 0.7500  8 Pr 2.91-3.16, 2 Tc 3.24

Fermi-level density of states, states/eV per atom: 1.067
Magnetic moment, μB per cell: 0.00
DFT total energy, eV/atom: -5.445


VASP calculation (PBE) on SrSi2IrRu after structural relaxation.

Lattice parameters (Å, degrees): 4.2032 4.2032 10.3089 90.00 90.00 90.00
With the nearest neighbours (Å) after each atom.
Space group I-4m2 (No. 119)
Inequivalent atoms, fractional coordinates:
Sr 0.0000 0.0000 0.0000  8 Si 3.29, 4 Ru 3.33, 4 Ir 3.33
Si 0.0000 0.0000 0.3622  2 Ru 2.40, 2 Ir 2.40
Ir 0.0000 0.5000 0.2500  4 Si 2.40
Ru 0.0000 0.5000 0.7500  4 Si 2.40

Fermi-level density of states, states/eV per atom: 0.367
Magnetic moment, μB per cell: 0.00
DFT total energy, eV/atom: -6.933


VASP calculation (PBE) on La2AsP3Pd4 after structural relaxation.

Lattice parameters (Å, degrees): 4.3759 4.3759 9.7108 90.00 90.00 90.00
With the nearest neighbours (Å) after each atom.
Space group P-4m2 (No. 115)
Inequivalent atoms, fractional coordinates:
La 0.0000 0.5000 0.2496  9 Pd 3.27-3.62, 2 As 3.27, 6 P 3.27-3.31
As 0.0000 0.0000 0.5000  4 Pd 2.49
P 0.0000 0.5000 0.8701  5 Pd 2.41-2.53
P 0.5000 0.5000 0.5000  4 Pd 2.49
Pd 0.0000 0.0000 0.0000  4 P 2.53
Pd 0.0000 0.5000 0.6221  3 P 2.41-2.49, 2 As 2.49
Pd 0.5000 0.5000 0.0000  4 P 2.53

Fermi-level density of states, states/eV per atom: 0.373
Magnetic moment, μB per cell: 0.00
DFT total energy, eV/atom: -6.120


VASP calculation (PBE) on As2PtSeF after structural relaxation.

Lattice parameters (Å, degrees): 4.2507 4.2507 5.1290 90.00 90.00 90.00
With the nearest neighbours (Å) after each atom.
Space group P4/mmm (No. 123)
Inequivalent atoms, fractional coordinates:
As 0.0000 0.5000 0.0000  2 F 2.13
Pt 0.0000 0.0000 0.5000  4 Se 3.01, 8 As 3.33
Se 0.5000 0.5000 0.5000  2 F 2.56
F 0.5000 0.5000 0.0000  4 As 2.13

Fermi-level density of states, states/eV per atom: 0.531
Magnetic moment, μB per cell: 0.00
DFT total energy, eV/atom: -3.636


VASP calculation (PBE) on AlCdHg3 after structural relaxation.

Lattice parameters (Å, degrees): 5.3324 5.3324 5.3324 90.00 90.00 90.00
With the nearest neighbours (Å) after each atom.
Space group Pm-3m (No. 221)
Inequivalent atoms, fractional coordinates:
Al 0.0000 0.0000 0.0000  6 Hg 2.67
Cd 0.5000 0.5000 0.5000  12 Hg 3.77
Hg 0.0000 0.0000 0.5000  2 Al 2.67

Fermi-level density of states, states/eV per atom: 0.351
Magnetic moment, μB per cell: 0.00
DFT total energy, eV/atom: -0.965


VASP calculation (PBE) on Tb2InSb after structural relaxation.

Lattice parameters (Å, degrees): 3.9739 3.9739 6.8569 90.00 90.00 90.00
With the nearest neighbours (Å) after each atom.
Space group P4/mmm (No. 123)
Inequivalent atoms, fractional coordinates:
Tb 0.0000 0.0000 0.2417  4 Sb 3.26, 2 Tb 3.31-3.54, 4 In 3.32
In 0.5000 0.5000 0.5000  8 Tb 3.32, 2 Sb 3.43
Sb 0.5000 0.5000 0.0000  8 Tb 3.26, 2 In 3.43

Fermi-level density of states, states/eV per atom: 0.697
Magnetic moment, μB per cell: 0.00
DFT total energy, eV/atom: -4.693


VASP calculation (PBE) on NbCrB after structural relaxation.

Lattice parameters (Å, degrees): 3.6106 3.6106 19.8152 90.00 90.00 120.00
With the nearest neighbours (Å) after each atom.
Space group R3m (No. 160, hexagonal axes)
Inequivalent atoms, fractional coordinates:
Nb 0.0000 0.0000 0.0000  6 B 2.44-2.62
Nb 0.0000 0.0000 0.4515  3 B 2.35, 3 Cr 2.56
Cr 0.0000 0.0000 0.2300  3 B 2.14, 3 Cr 2.21
Cr 0.0000 0.0000 0.8599  3 Cr 2.21, 3 B 2.40
B 0.0000 0.0000 0.5868  3 Cr 2.14
B 0.0000 0.0000 0.7304  6 Nb 2.35-2.44, 1 Cr 2.57

Fermi-level density of states, states/eV per atom: 0.553
Magnetic moment, μB per cell: 0.00
DFT total energy, eV/atom: -8.883


VASP calculation (PBE) on Ac4InHg2 after structural relaxation.

Lattice parameters (Å, degrees): 10.1709 10.1709 9.9187 90.00 90.00 90.00
With the nearest neighbours (Å) after each atom.
Space group I-42d (No. 122)
Inequivalent atoms, fractional coordinates:
Ac 0.0703 0.1756 0.3039  4 Hg 3.33-3.66, 2 In 3.42-3.58
In 0.0000 0.0000 0.0000  8 Ac 3.42-3.58
Hg 0.1286 0.2500 0.6250  8 Ac 3.33-3.66

Fermi-level density of states, states/eV per atom: 1.338
Magnetic moment, μB per cell: 0.00
DFT total energy, eV/atom: -3.147


DFT total energy of number 6 (Tb2InSb)? -4.693 eV/atom